DFT (PBE) results for Pm3CuSi2 after structural relaxation.

```
data_Pm3CuSi2
_chemical_formula_sum 'Pm6 Cu2 Si4'
_space_group_name_H-M_alt 'P 1'
_space_group_IT_number 1
_cell_length_a 7.302
_cell_length_b 7.302
_cell_length_c 7.302
_cell_angle_alpha 66.64
_cell_angle_beta 66.64
_cell_angle_gamma 66.64
loop_
_space_group_symop_operation_xyz
'x,y,z'
loop_
_atom_site_label
_atom_site_fract_x
_atom_site_fract_y
_atom_site_fract_z
_atom_site_occupancy
Si1 0.637 0.637 0.637 1
Si2 0.363 0.363 0.363 1
Si3 0.137 0.137 0.137 1
Si4 0.863 0.863 0.863 1
Cu1 0.500 0.500 0.500 1
Cu2 0.000 0.000 0.000 1
Pm1 0.957 0.250 0.543 1
Pm2 0.043 0.750 0.457 1
Pm3 0.457 0.043 0.750 1
Pm4 0.750 0.457 0.043 1
Pm5 0.250 0.543 0.957 1
Pm6 0.543 0.957 0.250 1
```

Output
* final energy: -31.86 eV per formula unit
* E_form (uncorrected): -257 kJ/mol of formula units
* energy relative to the lowest polymorph listed for this composition: 146 meV per atom
* SG: R-3c (167)

---

DFT (PBE) results for Cs3ZnSn after structural relaxation.

```
data_Cs3ZnSn
_chemical_formula_sum 'Cs3 Zn1 Sn1'
_space_group_name_H-M_alt 'P 1'
_space_group_IT_number 1
_cell_length_a 7.539
_cell_length_b 7.539
_cell_length_c 7.539
_cell_angle_alpha 90.00
_cell_angle_beta 90.00
_cell_angle_gamma 90.00
loop_
_space_group_symop_operation_xyz
'x,y,z'
loop_
_atom_site_label
_atom_site_fract_x
_atom_site_fract_y
_atom_site_fract_z
_atom_site_occupancy
Zn1 0.500 0.500 0.500 1
Cs1 0.500 0.000 0.000 1
Cs2 0.000 0.500 0.000 1
Cs3 0.000 0.000 0.500 1
Sn1 0.000 0.000 0.000 1
```

Output
* final energy: -6.73 eV per formula unit
* energy relative to the lowest polymorph listed for this composition: 195 meV per atom
* formation enthalpy at 0 K: 221 meV per atom
* SG: Pm-3m (221)

---

Sequential size of the total moment output: 0.0, 0.0 μB per formula unit